No. 1
Computed, not measured: a relaxed Cs2Tc2C crystal at the PBE-GGA level of DFT.

As for the total energy: -4.9332 eV per atom. The value obtained for the density of states at the Fermi level is 3.6 states/eV per cell. As for the energy above the most stable polymorph in this dataset: 0.000 eV per atom.

The structure belongs to space group P4/mbm (No. 127); the cell edges are 5.936, 5.936 and 6.353 Å and the angles 90.00°, 90.00° and 90.00°. Symmetry generates all atoms from Cs at (0.185, 0.315, 0.000), Tc at (0.150, 0.650, 0.500) and C at (0.000, 0.000, 0.500).


No. 2
Computed, not measured: a relaxed HoAl4CuPt2 crystal at the PBE-GGA level of DFT.

As for the total energy: -5.2183 eV per atom. The value obtained for the density of states at the Fermi level is 7.8 states/eV per cell.

The structure belongs to space group R-3m (No. 166, hexagonal axes); the cell edges are 4.2572, 4.2572 and 25.6921 Å and the angles 90.00°, 90.00° and 120.00°. Symmetry generates all atoms from Ho at (0.0000, 0.0000, 0.0000), Al at (0.0000, 0.0000, 0.1326), Al at (0.0000, 0.0000, 0.4023), Cu at (0.0000, 0.0000, 0.5000) and Pt at (0.0000, 0.0000, 0.2390).